DFT (GGA-PBE) results for an optimized crystal structure of La4Ho5Er2.

- Total DFT energy (no corrections): -0.17092 hartree per atom
- DOS(E_F): 16.06 states/eV/f.u.
- Polymorph energy (0 for the lowest one): 0 meV per atom
- Formation enthalpy at 0 K: 51 meV per atom
- Space group: C2/m, No. 12

Cell: 3.675 9.616 12.166 Å, 66.68 81.30 67.55°
Element x y z (fractional)
La (0.201, 0.117, 0.364)
La (0.668, 0.292, 0.081)
La (0.799, 0.883, 0.636)
La (0.332, 0.708, 0.919)
Ho (0.996, 0.130, 0.749)
Ho (0.004, 0.870, 0.251)
Ho (0.592, 0.657, 0.502)
Ho (0.500, 0.000, 0.000)
Ho (0.408, 0.343, 0.498)
Er (0.836, 0.553, 0.221)
Er (0.164, 0.447, 0.779)


DFT (GGA-PBE) results for an optimized crystal structure of La2Ho3Er9.

- Total DFT energy (no corrections): -0.16336 hartree per atom
- DOS(E_F): 21.90 states/eV/f.u.
- Formation enthalpy at 0 K: 173 meV per atom
- Space group: P-1, No. 2

Cell: 5.342 14.909 10.495 Å, 45.85 51.71 55.51°
Element x y z (fractional)
La (0.506, 0.240, 0.738)
La (0.494, 0.760, 0.262)
Ho (0.000, 0.000, 0.000)
Ho (0.696, 0.336, 0.257)
Ho (0.304, 0.664, 0.743)
Er (0.000, 0.500, 0.500)
Er (0.838, 0.933, 0.751)
Er (0.162, 0.067, 0.249)
Er (0.420, 0.699, 0.993)
Er (0.580, 0.301, 0.007)
Er (0.713, 0.864, 0.505)
Er (0.287, 0.136, 0.495)
Er (0.033, 0.512, 0.777)
Er (0.967, 0.488, 0.223)


DFT (GGA-PBE) results for an optimized crystal structure of La3HoEr7.

- Total DFT energy (no corrections): -0.16085 hartree per atom
- DOS(E_F): 14.53 states/eV/f.u.
- Polymorph energy (0 for the lowest one): 164 meV per atom
- Formation enthalpy at 0 K: 287 meV per atom
- Space group: C2/m, No. 12

Cell: 5.848 8.450 8.450 Å, 83.06 110.19 110.19°
Element x y z (fractional)
La (0.000, 0.784, 0.216)
La (0.500, 0.000, 0.000)
La (0.000, 0.216, 0.784)
Ho (0.500, 0.500, 0.500)
Er (0.207, 0.208, 0.208)
Er (0.294, 0.992, 0.595)
Er (0.706, 0.405, 0.008)
Er (0.294, 0.595, 0.992)
Er (0.000, 0.500, 0.500)
Er (0.706, 0.008, 0.405)
Er (0.793, 0.792, 0.792)


DFT (GGA-PBE) results for an optimized crystal structure of LaHo12Er6.

- Total DFT energy (no corrections): -0.15304 hartree per atom
- DOS(E_F): 23.58 states/eV/f.u.
- Polymorph energy (0 for the lowest one): 269 meV per atom
- Formation enthalpy at 0 K: 427 meV per atom
- Space group: R-3m, No. 166

Cell: 9.243 9.243 9.243 Å, 107.64 107.64 107.64°
Element x y z (fractional)
La (0.000, 0.000, 0.000)
Ho (0.889, 0.111, 0.500)
Ho (0.373, 0.154, 0.373)
Ho (0.373, 0.373, 0.154)
Ho (0.846, 0.627, 0.627)
Ho (0.627, 0.627, 0.846)
Ho (0.627, 0.846, 0.627)
Ho (0.500, 0.889, 0.111)
Ho (0.111, 0.500, 0.889)
Ho (0.111, 0.889, 0.500)
Ho (0.500, 0.111, 0.889)
Ho (0.889, 0.500, 0.111)
Ho (0.154, 0.373, 0.373)
Er (0.690, 0.265, 0.690)
Er (0.690, 0.690, 0.265)
Er (0.265, 0.690, 0.690)
Er (0.310, 0.310, 0.735)
Er (0.310, 0.735, 0.310)
Er (0.735, 0.310, 0.310)


DFT (GGA-PBE) results for an optimized crystal structure of La3Ho2Er2.

- Total DFT energy (no corrections): -0.17184 hartree per atom
- DOS(E_F): 11.28 states/eV/f.u.
- Polymorph energy (0 for the lowest one): 0 meV per atom
- Formation enthalpy at 0 K: 47 meV per atom
- Space group: P2/m, No. 10

Cell: 3.597 5.753 11.789 Å, 104.11 90.00 90.00°
Element x y z (fractional)
La (0.000, 0.000, 0.000)
La (0.500, 0.156, 0.310)
La (0.500, 0.844, 0.690)
Ho (0.000, 0.296, 0.592)
Ho (0.000, 0.704, 0.408)
Er (0.500, 0.428, 0.857)
Er (0.500, 0.572, 0.143)


DFT (GGA-PBE) results for an optimized crystal structure of LaHo12Er6.

- Total DFT energy (no corrections): -0.16292 hartree per atom
- DOS(E_F): 33.22 states/eV/f.u.
- Polymorph energy (0 for the lowest one): 0 meV per atom
- Formation enthalpy at 0 K: 158 meV per atom
- Space group: R-3, No. 148

Cell: 8.481 8.481 8.481 Å, 88.34 88.34 88.34°
Element x y z (fractional)
La (0.000, 0.000, 0.000)
Ho (0.773, 0.545, 0.435)
Ho (0.435, 0.773, 0.545)
Ho (0.545, 0.435, 0.773)
Ho (0.227, 0.455, 0.565)
Ho (0.565, 0.227, 0.455)
Ho (0.455, 0.565, 0.227)
Ho (0.008, 0.211, 0.356)
Ho (0.789, 0.644, 0.992)
Ho (0.644, 0.992, 0.789)
Ho (0.992, 0.789, 0.644)
Ho (0.211, 0.356, 0.008)
Ho (0.356, 0.008, 0.211)
Er (0.743, 0.908, 0.315)
Er (0.685, 0.257, 0.092)
Er (0.092, 0.685, 0.257)
Er (0.257, 0.092, 0.685)
Er (0.315, 0.743, 0.908)
Er (0.908, 0.315, 0.743)